1.
First-principles (PBE-GGA) data for Pr12Sm3Pu after structural relaxation, as listed in Alexandria.

abc: 5.2102 5.2102 20.7799
angles: 90.00 90.00 90.00
Closest atoms and distances in Å follow each position.
Space group P4/mmm (No. 123)
Symmetry-distinct sites (fractional):
Pr (0.0000, 0.0000, 0.0000)  8 Pr 3.63, 4 Pu 3.68
Pr (0.0000, 0.0000, 0.2484)  4 Sm 3.68, 8 Pr 3.69-3.71
Pr (0.0000, 0.0000, 0.5000)  4 Sm 3.68, 8 Pr 3.69
Pr (0.0000, 0.5000, 0.1214)  8 Pr 3.63-3.71, 2 Pu 3.63, 2 Sm 3.71
Pr (0.0000, 0.5000, 0.3739)  4 Sm 3.68-3.69, 8 Pr 3.68-3.69
Sm (0.5000, 0.5000, 0.2486)  12 Pr 3.68-3.71
Sm (0.5000, 0.5000, 0.5000)  12 Pr 3.68-3.69
Pu (0.5000, 0.5000, 0.0000)  12 Pr 3.63-3.68

Summary:
crystal system	tetragonal
Fermi-level density of states	2.068	states/eV per atom
calculated total energy	-5.321	eV/atom
size of the total moment	6.49	μB/f.u.
calculated formation energy	4.3	kJ per mole of atoms

---

2.
First-principles (PBE-GGA) data for Pr8Sm3Pu after structural relaxation, as listed in Alexandria.

abc: 8.8437 8.8437 11.7038
angles: 90.00 90.00 90.00
Closest atoms and distances in Å follow each position.
Space group I-42m (No. 121)
Symmetry-distinct sites (fractional):
Pr (0.1242, 0.1242, 0.2624)  3 Pr 3.11-3.34, 1 Pu 3.18, 1 Sm 3.44
Pr (0.2362, 0.2362, 0.5214)  1 Pu 2.96, 1 Sm 3.31, 1 Pr 3.32
Sm (0.0000, 0.0000, 0.0000)  8 Pr 3.31-3.44
Sm (0.0000, 0.5000, 0.2500)  4 Pr 3.50
Pu (0.0000, 0.0000, 0.5000)  8 Pr 2.96-3.18

Summary:
crystal system	tetragonal
Fermi-level density of states	1.601	states/eV per atom
calculated total energy	-5.051	eV/atom
size of the total moment	5.03	μB/f.u.
calculated formation energy	49.1	kJ per mole of atoms